# FeNi2Os PBE optimized geometry
data_FeNi2Os
_chemical_formula_sum 'Fe1 Ni2 Os1'
_cell_length_a 8.452
_cell_length_b 8.452
_cell_length_c 8.452
_cell_angle_alpha 17.79
_cell_angle_beta 17.79
_cell_angle_gamma 17.79
_space_group_name_H-M_alt 'P 1'
_space_group_IT_number 1
loop_
_space_group_symop_operation_xyz
'x,y,z'
loop_
_atom_site_label
_atom_site_type_symbol
_atom_site_fract_x
_atom_site_fract_y
_atom_site_fract_z
Fe1 Fe 0.000 0.000 0.000
Ni1 Ni 0.252 0.252 0.252
Ni2 Ni 0.748 0.748 0.748
Os1 Os 0.500 0.500 0.500
# E above lowest polymorph ... 0.048 eV/atom
# ΔH_f (0 K) ... 0.115 eV/atom
# Space-group type ... No. 166
# Calculated volume ... 12.305 Å³ per atom